Entry 1:
ErTlPd after structural relaxation, computed with GGA-PBE.

Output
ΔE_f	-527	meV/atom
DOS(E_F)	1.076	states/eV/cell
crystal system	tetragonal
DFT total energy	-4.57	eV/atom

a b c (Å): 5.449 5.449 5.449
angles (deg): 139.76 139.76 58.22
Fractional positions:
Er  0.000  0.000  0.000
Tl  0.685  0.685  0.000
Pd  0.354  0.354  0.000



Entry 2:
Er6Tl2Pd after structural relaxation, computed with GGA-PBE.

Output
ΔE_f	-376	meV/atom
DOS(E_F)	11.929	states/eV/cell
crystal system	hexagonal
DFT total energy	-4.52	eV/atom

a b c (Å): 8.710 8.710 3.739
angles (deg): 90.00 90.00 120.00
Fractional positions:
Er  0.000  0.395  0.000
Er  0.000  0.753  0.500
Er  0.247  0.247  0.500
Er  0.395  0.000  0.000
Er  0.605  0.605  0.000
Er  0.753  0.000  0.500
Tl  0.333  0.667  0.500
Tl  0.667  0.333  0.500
Pd  0.000  0.000  0.000



Entry 3:
ErTlPd after structural relaxation, computed with GGA-PBE.

Output
ΔE_f	-644	meV/atom
DOS(E_F)	6.975	states/eV/cell
crystal system	hexagonal
DFT total energy	-4.68	eV/atom

a b c (Å): 7.871 7.871 3.713
angles (deg): 90.00 90.00 120.00
Fractional positions:
Er  0.000  0.600  0.000
Er  0.400  0.400  0.000
Er  0.600  0.000  0.000
Tl  0.000  0.270  0.500
Tl  0.270  0.000  0.500
Tl  0.730  0.730  0.500
Pd  0.000  0.000  0.000
Pd  0.333  0.667  0.500
Pd  0.667  0.333  0.500



Entry 4:
ErTlPd after structural relaxation, computed with GGA-PBE.

Output
ΔE_f	-525	meV/atom
DOS(E_F)	3.233	states/eV/cell
crystal system	hexagonal
DFT total energy	-4.57	eV/atom

a b c (Å): 4.748 4.748 3.470
angles (deg): 90.00 90.00 120.00
Fractional positions:
Er  0.000  0.000  0.000
Tl  0.333  0.667  0.500
Pd  0.667  0.333  0.500



Entry 5:
Er4TlPd after structural relaxation, computed with GGA-PBE.

Output
ΔE_f	-386	meV/atom
DOS(E_F)	12.478	states/eV/cell
crystal system	monoclinic
DFT total energy	-4.69	eV/atom

a b c (Å): 7.706 7.706 6.190
angles (deg): 99.40 99.40 111.04
Fractional positions:
Er  0.063  0.718  0.951
Er  0.203  0.375  0.603
Er  0.282  0.937  0.549
Er  0.375  0.203  0.103
Er  0.625  0.797  0.897
Er  0.718  0.063  0.451
Er  0.797  0.625  0.397
Er  0.937  0.282  0.049
Tl  0.378  0.622  0.250
Tl  0.622  0.378  0.750
Pd  0.001  0.999  0.250
Pd  0.999  0.001  0.750



Entry 6:
Er2Tl5Pd12 after structural relaxation, computed with GGA-PBE.

Output
ΔE_f	-364	meV/atom
DOS(E_F)	6.994	states/eV/cell
crystal system	monoclinic
DFT total energy	-4.75	eV/atom

a b c (Å): 8.173 8.173 6.042
angles (deg): 96.01 96.01 63.75
Fractional positions:
Er  0.224  0.776  0.000
Er  0.776  0.224  0.000
Tl  0.000  0.000  0.500
Tl  0.244  0.244  0.521
Tl  0.340  0.340  0.073
Tl  0.660  0.660  0.927
Tl  0.756  0.756  0.479
Pd  0.037  0.560  0.798
Pd  0.138  0.138  0.898
Pd  0.173  0.629  0.402
Pd  0.371  0.827  0.598
Pd  0.440  0.963  0.202
Pd  0.461  0.461  0.722
Pd  0.539  0.539  0.278
Pd  0.560  0.037  0.798
Pd  0.629  0.173  0.402
Pd  0.827  0.371  0.598
Pd  0.862  0.862  0.102
Pd  0.963  0.440  0.202



Entry 7:
Er3Tl2Pd after structural relaxation, computed with GGA-PBE.

Output
ΔE_f	-518	meV/atom
DOS(E_F)	4.674	states/eV/cell
crystal system	tetragonal
DFT total energy	-4.45	eV/atom

a b c (Å): 3.559 3.559 11.764
angles (deg): 90.00 90.00 90.00
Fractional positions:
Er  0.000  0.000  0.000
Er  0.000  0.000  0.358
Er  0.000  0.000  0.642
Tl  0.500  0.500  0.177
Tl  0.500  0.500  0.823
Pd  0.500  0.500  0.500



Entry 8:
Er6TlPd5 after structural relaxation, computed with GGA-PBE.

Output
ΔE_f	-802	meV/atom
DOS(E_F)	7.486	states/eV/cell
crystal system	monoclinic
DFT total energy	-5.44	eV/atom

a b c (Å): 8.640 8.640 5.000
angles (deg): 106.76 106.76 48.05
Fractional positions:
Er  0.071  0.584  0.327
Er  0.236  0.764  0.000
Er  0.416  0.929  0.673
Er  0.584  0.071  0.327
Er  0.764  0.236  0.000
Er  0.929  0.416  0.673
Tl  0.500  0.500  0.500
Pd  0.000  0.000  0.500
Pd  0.168  0.168  0.168
Pd  0.341  0.341  0.841
Pd  0.659  0.659  0.159
Pd  0.832  0.832  0.832



Entry 9:
Er2TlPd9 after structural relaxation, computed with GGA-PBE.

Output
ΔE_f	-673	meV/atom
DOS(E_F)	8.989	states/eV/cell
crystal system	tetragonal
DFT total energy	-5.52	eV/atom

a b c (Å): 4.103 4.103 12.277
angles (deg): 90.00 90.00 90.00
Fractional positions:
Er  0.000  0.000  0.168
Er  0.000  0.000  0.832
Tl  0.000  0.000  0.500
Pd  0.000  0.500  0.000
Pd  0.000  0.500  0.333
Pd  0.000  0.500  0.667
Pd  0.500  0.000  0.000
Pd  0.500  0.000  0.333
Pd  0.500  0.000  0.667
Pd  0.500  0.500  0.166
Pd  0.500  0.500  0.500
Pd  0.500  0.500  0.834



Entry 10:
ErTl2Pd7 after structural relaxation, computed with GGA-PBE.

Output
ΔE_f	-68	meV/atom
DOS(E_F)	5.920	states/eV/cell
crystal system	orthorhombic
DFT total energy	-4.63	eV/atom

a b c (Å): 8.152 8.152 4.196
angles (deg): 90.00 90.00 125.99
Fractional positions:
Er  0.000  0.000  0.000
Tl  0.306  0.694  0.500
Tl  0.694  0.306  0.500
Pd  0.084  0.282  0.500
Pd  0.188  0.812  0.000
Pd  0.282  0.084  0.500
Pd  0.500  0.500  0.500
Pd  0.718  0.916  0.500
Pd  0.812  0.188  0.000
Pd  0.916  0.718  0.500



Entry 11:
Er6Tl2Pd after structural relaxation, computed with GGA-PBE.

Output
ΔE_f	-191	meV/atom
DOS(E_F)	5.181	states/eV/cell
crystal system	orthorhombic
DFT total energy	-4.34	eV/atom

a b c (Å): 8.682 8.682 8.682
angles (deg): 146.21 131.10 60.76
Fractional positions:
Er  0.083  0.343  0.740
Er  0.231  0.000  0.231
Er  0.398  0.657  0.740
Er  0.602  0.343  0.260
Er  0.769  0.000  0.769
Er  0.917  0.657  0.260
Tl  0.332  0.832  0.500
Tl  0.668  0.168  0.500
Pd  0.000  0.500  0.500



Entry 12:
Er5Tl2Pd2 after structural relaxation, computed with GGA-PBE.

Output
ΔE_f	-544	meV/atom
DOS(E_F)	16.883	states/eV/cell
crystal system	orthorhombic
DFT total energy	-4.76	eV/atom

a b c (Å): 8.782 8.782 7.202
angles (deg): 90.00 90.00 57.95
Fractional positions:
Er  0.000  0.000  0.000
Er  0.059  0.697  0.654
Er  0.197  0.559  0.154
Er  0.303  0.941  0.654
Er  0.441  0.803  0.154
Er  0.500  0.500  0.500
Er  0.559  0.197  0.846
Er  0.697  0.059  0.346
Er  0.803  0.441  0.846
Er  0.941  0.303  0.346
Tl  0.212  0.212  0.000
Tl  0.288  0.288  0.500
Tl  0.712  0.712  0.500
Tl  0.788  0.788  0.000
Pd  0.123  0.877  0.364
Pd  0.377  0.623  0.864
Pd  0.623  0.377  0.136
Pd  0.877  0.123  0.636



Entry 13:
Er4Tl2Pd after structural relaxation, computed with GGA-PBE.

Output
ΔE_f	-275	meV/atom
DOS(E_F)	5.484	states/eV/cell
crystal system	monoclinic
DFT total energy	-4.30	eV/atom

a b c (Å): 6.819 3.715 8.428
angles (deg): 90.00 107.71 90.00
Fractional positions:
Er  0.087  0.000  0.293
Er  0.366  0.500  0.682
Er  0.634  0.500  0.318
Er  0.913  0.000  0.707
Tl  0.234  0.500  0.004
Tl  0.766  0.500  0.996
Pd  0.500  0.000  0.500



Entry 14:
ErTl3Pd12 after structural relaxation, computed with GGA-PBE.

Output
ΔE_f	-368	meV/atom
DOS(E_F)	17.682	states/eV/cell
crystal system	tetragonal
DFT total energy	-4.99	eV/atom

a b c (Å): 4.078 4.078 16.472
angles (deg): 90.00 90.00 90.00
Fractional positions:
Er  0.000  0.000  0.000
Tl  0.000  0.000  0.252
Tl  0.000  0.000  0.500
Tl  0.000  0.000  0.748
Pd  0.000  0.500  0.125
Pd  0.000  0.500  0.375
Pd  0.000  0.500  0.625
Pd  0.000  0.500  0.875
Pd  0.500  0.000  0.125
Pd  0.500  0.000  0.375
Pd  0.500  0.000  0.625
Pd  0.500  0.000  0.875
Pd  0.500  0.500  0.000
Pd  0.500  0.500  0.249
Pd  0.500  0.500  0.500
Pd  0.500  0.500  0.751



Entry 15:
ErTl2Pd after structural relaxation, computed with GGA-PBE.

Output
ΔE_f	-297	meV/atom
DOS(E_F)	2.650	states/eV/cell
crystal system	tetragonal
DFT total energy	-3.92	eV/atom

a b c (Å): 4.415 4.415 4.761
angles (deg): 90.00 90.00 90.00
Fractional positions:
Er  0.000  0.000  0.000
Tl  0.000  0.500  0.500
Tl  0.500  0.000  0.500
Pd  0.500  0.500  0.000



Entry 16:
ErTlPd after structural relaxation, computed with GGA-PBE.

Output
ΔE_f	-521	meV/atom
DOS(E_F)	3.438	states/eV/cell
crystal system	cubic
DFT total energy	-4.56	eV/atom

a b c (Å): 4.727 4.727 4.727
angles (deg): 60.00 60.00 60.00
Fractional positions:
Er  0.000  0.000  0.000
Tl  0.500  0.500  0.500
Pd  0.250  0.250  0.250



Entry 17:
Er8TlPd2 after structural relaxation, computed with GGA-PBE.

Output
ΔE_f	-316	meV/atom
DOS(E_F)	13.924	states/eV/cell
crystal system	monoclinic
DFT total energy	-4.79	eV/atom

a b c (Å): 8.018 8.018 5.423
angles (deg): 98.66 98.66 114.75
Fractional positions:
Er  0.083  0.332  0.582
Er  0.241  0.759  0.000
Er  0.332  0.083  0.582
Er  0.393  0.393  0.193
Er  0.607  0.607  0.807
Er  0.668  0.917  0.418
Er  0.759  0.241  0.000
Er  0.917  0.668  0.418
Tl  0.000  0.000  0.000
Pd  0.303  0.697  0.500
Pd  0.697  0.303  0.500



Entry 18:
Er4TlPd after structural relaxation, computed with GGA-PBE.

Output
ΔE_f	-477	meV/atom
DOS(E_F)	20.596	states/eV/cell
crystal system	cubic
DFT total energy	-4.78	eV/atom

a b c (Å): 9.656 9.656 9.656
angles (deg): 60.00 60.00 60.00
Fractional positions:
Er  0.060  0.647  0.647
Er  0.063  0.063  0.437
Er  0.063  0.437  0.063
Er  0.063  0.437  0.437
Er  0.187  0.187  0.813
Er  0.187  0.813  0.187
Er  0.187  0.813  0.813
Er  0.437  0.063  0.063
Er  0.437  0.063  0.437
Er  0.437  0.437  0.063
Er  0.647  0.060  0.647
Er  0.647  0.647  0.060
Er  0.647  0.647  0.647
Er  0.813  0.187  0.187
Er  0.813  0.187  0.813
Er  0.813  0.813  0.187
Tl  0.413  0.413  0.413
Tl  0.413  0.413  0.760
Tl  0.413  0.760  0.413
Tl  0.760  0.413  0.413
Pd  0.434  0.855  0.855
Pd  0.855  0.434  0.855
Pd  0.855  0.855  0.434
Pd  0.855  0.855  0.855



Entry 19:
Er4Tl3Pd after structural relaxation, computed with GGA-PBE.

Output
ΔE_f	-473	meV/atom
DOS(E_F)	5.347	states/eV/cell
crystal system	tetragonal
DFT total energy	-4.29	eV/atom

a b c (Å): 3.593 3.593 15.686
angles (deg): 90.00 90.00 90.00
Fractional positions:
Er  0.000  0.000  0.105
Er  0.000  0.000  0.368
Er  0.000  0.000  0.632
Er  0.000  0.000  0.895
Tl  0.500  0.500  0.239
Tl  0.500  0.500  0.500
Tl  0.500  0.500  0.761
Pd  0.500  0.500  0.000



Entry 20:
ErTlZnPd after structural relaxation, computed with GGA-PBE.

Output
ΔE_f	-421	meV/atom
DOS(E_F)	2.493	states/eV/cell
crystal system	cubic
DFT total energy	-3.77	eV/atom

a b c (Å): 4.837 4.837 4.837
angles (deg): 60.00 60.00 60.00
Fractional positions:
Er  0.000  0.000  0.000
Tl  0.500  0.500  0.500
Zn  0.750  0.750  0.750
Pd  0.250  0.250  0.250